10
Lattice="3.935 0.000 0.873 1.587 7.139 2.152 0.064 -0.852 9.015" Properties=species:S:1:pos:R:3 comment="PBE K2Rb3H5, relaxed" spacegroup="C2/m, No. 12" energy_ev_per_atom=-2.31 pbc="T T T"
H 0.000 0.000 0.000
H 4.816 5.372 6.202
H 3.404 2.564 3.265
K 4.197 5.937 8.992
K 1.388 0.350 3.048
H 2.181 3.723 8.775
H 0.769 0.915 5.838
Rb 1.488 4.580 2.595
Rb 4.097 1.707 9.445
Rb 2.793 3.144 6.020

12
Lattice="4.769 0.020 -1.392 -1.191 7.625 -3.971 0.044 -0.237 9.016" Properties=species:S:1:pos:R:3 comment="PBE PrTm6In5, relaxed" delta_e_f_ev_per_atom=-0.35 spacegroup="Immm, No. 71" pbc="T T T"
Tm 3.875 0.590 4.421
In -0.595 3.812 -1.985
Tm 2.055 2.119 -1.794
Pr 0.000 0.000 0.000
In 2.949 1.113 1.252
In 1.173 2.294 4.053
Tm 0.306 3.241 1.096
In 0.674 6.295 2.402
Tm -0.252 6.817 -0.767
Tm 3.317 4.167 2.558
In 2.450 5.114 -0.399
Tm 1.523 5.525 -3.568

10
Lattice="3.805 0.000 -2.039 -2.449 3.555 0.000 0.099 0.069 4.756" Properties=species:S:1:pos:R:3 comment="PBE MgCo3H6, relaxed" spacegroup="R3, No. 146" energy_ev_per_atom=-4.33 pbc="T T T"
H 2.840 0.361 -0.391
H -1.008 3.298 2.797
H 2.178 1.438 1.777
Co 1.802 1.241 3.363
Co 0.636 0.438 1.187
H 0.305 1.522 2.749
Co -0.309 2.409 -0.576
H 1.017 1.653 0.108
Mg 0.891 3.235 1.663
H -1.073 2.524 0.907

10
Lattice="-5.018 -2.608 1.865 2.709 -5.301 -0.124 1.479 0.642 4.878" Properties=species:S:1:pos:R:3 comment="PBE Li2Hg2H, relaxed" spacegroup="P4/mbm, No. 127" energy_ev_per_atom=-1.62 pbc="T T T"
Li -2.952 -2.821 1.266
H -1.154 -3.955 0.870
H 0.000 0.000 0.000
Li -0.128 -2.134 0.320
Hg -0.393 -5.820 3.591
Li 0.643 -5.088 0.475
Hg 1.696 -3.694 2.677
Hg -0.437 -1.448 3.028
Li -2.181 -5.775 1.421
Hg -2.526 -3.573 3.942

4
Lattice="4.129 0.000 0.000 0.000 4.208 0.040 0.000 3.068 6.824" Properties=species:S:1:pos:R:3 comment="PBE LaMg2Te, relaxed" e_form_raw_kj_per_mol_fu=-205 spacegroup="Pm, No. 6" pbc="T T T"
Mg 0.000 0.176 0.252
Mg 2.065 2.340 1.479
Te 0.000 3.151 3.597
La 2.065 5.246 4.967

11
Lattice="6.464 0.000 0.000 3.232 7.664 -2.717 3.232 -0.512 5.642" Properties=species:S:1:pos:R:3 comment="PBE Na2Li4Tl5, relaxed" delta_e_f_ev_per_atom=-0.12 spacegroup="C2/m, No. 12" pbc="T T T"
Li 9.696 6.380 0.837
Na 6.464 5.426 1.062
Li 9.696 3.165 4.220
Tl 8.060 6.279 -1.828
Tl 4.869 6.279 -1.828
Tl 4.869 0.874 4.753
Tl 8.060 0.874 4.753
Tl 3.232 3.576 1.462
Li 3.232 3.987 -1.295
Na 6.464 1.726 1.863
Li 3.232 0.772 2.087

5
Lattice="-2.254 -2.768 0.575 2.007 -1.049 2.818 -2.867 2.989 3.155" Properties=species:S:1:pos:R:3 comment="PBE BPSeO2, relaxed" e_form_raw_kj_per_mol_fu=397 spacegroup="P4/mmm, No. 123" pbc="T T T"
O 1.004 -0.524 1.409
P -1.433 1.495 1.578
Se 0.000 0.000 0.000
B -1.556 -0.414 3.274
O -1.127 -1.384 0.287

16
Lattice="-1.052 -0.273 -5.146 -5.413 -1.760 1.200 -1.936 6.006 0.078" Properties=species:S:1:pos:R:3 comment="PBE LuB2Os, relaxed" delta_e_f_ev_per_atom=-0.64 spacegroup="Pnma, No. 62" pbc="T T T"
Lu -3.347 0.034 -0.661
Os -5.592 -0.568 -2.858
B -1.442 -0.184 -2.824
B -4.974 1.496 -2.190
B -3.427 2.476 -1.678
B -6.959 4.157 -1.045
B -5.328 1.405 -3.921
Lu -7.438 2.056 -2.620
Os -5.247 2.827 -0.421
Os -2.809 4.541 -1.010
B -1.796 -0.276 -4.554
Lu -0.964 1.916 -1.248
Lu -5.054 3.939 -3.207
Os -3.154 1.146 -3.448
B -3.074 2.568 0.052
B -6.605 4.248 0.686

4
Lattice="3.110 0.000 0.000 0.000 3.110 0.000 0.000 0.000 6.373" Properties=species:S:1:pos:R:3 comment="PBE MnNb2Os, relaxed" delta_e_f_ev_per_atom=-0.14 spacegroup="P4/mmm, No. 123" pbc="T T T"
Nb 0.000 0.000 4.868
Nb 0.000 0.000 1.505
Mn 1.555 1.555 0.000
Os 1.555 1.555 3.187

4
Lattice="-0.273 -0.989 4.975 -3.387 -3.362 1.739 1.565 -4.490 1.787" Properties=species:S:1:pos:R:3 comment="PBE FeHgSb2, relaxed" e_form_raw_kj_per_mol_fu=230 spacegroup="F-43m, No. 216" pbc="T T T"
Hg -1.572 -6.630 6.375
Sb -0.524 -2.210 2.125
Fe -1.048 -4.420 4.250
Sb 0.000 0.000 0.000

5
Lattice="5.078 0.000 0.000 0.000 4.986 0.000 0.000 0.000 5.078" Properties=species:S:1:pos:R:3 comment="PBE CuGeMoPb2, relaxed" delta_e_f_ev_per_atom=1.02 spacegroup="P4/mmm, No. 123" pbc="T T T"
Cu 0.000 0.000 0.000
Mo 0.000 2.493 0.000
Pb 2.539 0.000 0.000
Ge 2.539 2.493 2.539
Pb 0.000 0.000 2.539

4
Lattice="-1.101 -2.543 0.056 2.690 -0.180 0.642 -1.715 0.906 7.443" Properties=species:S:1:pos:R:3 comment="PBE MnFe2Se, relaxed" e_form_raw_kj_per_mol_fu=164 spacegroup="Cmmm, No. 65" pbc="T T T"
Se -0.491 -0.682 5.931
Fe -0.852 0.450 3.699
Mn 0.366 -1.135 2.210
Fe -0.005 0.003 0.023